# HfScBe3

An optimized crystal structure of HfScBe3 (PBE-GGA, Alexandria via LeMat-Bulk).

Results
- DFT formation energy (eV per atom) = 1.25
- magnetic moment (μB/f.u.) = 1.007
- polymorph energy (0 for the lowest one) (meV per atom) = 0
- VASP energy (eV per cell) = -21.237
- ρ (g/cm3) = 4.4

a b c (Å): 4.561 4.561 4.561
angles (deg): 90.00 90.00 90.00
Atoms (fractional coordinates):
Hf  0.000  0.000  0.000
Sc  0.500  0.500  0.500
Be  0.000  0.000  0.500
Be  0.000  0.500  0.000
Be  0.500  0.000  0.000

# Sr6TlCd3

An optimized crystal structure of Sr6TlCd3 (PBE-GGA, Alexandria via LeMat-Bulk).

Results
- DFT formation energy (eV per atom) = -0.26
- magnetic moment (μB/f.u.) = 0.000
- VASP energy (eV per cell) = -35.704
- ρ (g/cm3) = 4.6

a b c (Å): 10.951 5.406 13.788
angles (deg): 90.00 109.13 90.00
Atoms (fractional coordinates):
Sr  0.010  0.250  0.124
Sr  0.133  0.250  0.701
Sr  0.225  0.750  0.534
Sr  0.324  0.750  0.126
Sr  0.381  0.250  0.374
Sr  0.404  0.750  0.860
Sr  0.596  0.250  0.140
Sr  0.619  0.750  0.626
Sr  0.676  0.250  0.874
Sr  0.775  0.250  0.466
Sr  0.867  0.750  0.299
Sr  0.990  0.750  0.876
Tl  0.423  0.250  0.653
Tl  0.577  0.750  0.347
Cd  0.068  0.250  0.390
Cd  0.159  0.750  0.284
Cd  0.246  0.250  0.965
Cd  0.754  0.750  0.035
Cd  0.841  0.250  0.716
Cd  0.932  0.750  0.610

# CaPaPt2

An optimized crystal structure of CaPaPt2 (PBE-GGA, Alexandria via LeMat-Bulk).

Results
- DFT formation energy (eV per atom) = -0.91
- magnetic moment (μB/f.u.) = 0.002
- polymorph energy (0 for the lowest one) (meV per atom) = 34
- VASP energy (eV per cell) = -27.233
- ρ (g/cm3) = 12.1

a b c (Å): 3.530 3.530 7.274
angles (deg): 90.00 90.00 90.00
Atoms (fractional coordinates):
Ca  0.000  0.000  0.000
Pa  0.000  0.000  0.500
Pt  0.500  0.500  0.286
Pt  0.500  0.500  0.714

# Zn3HPb

An optimized crystal structure of Zn3HPb (PBE-GGA, Alexandria via LeMat-Bulk).

Results
- magnetic moment (μB/f.u.) = 0.000
- VASP energy (eV per cell) = -9.169
- ρ (g/cm3) = 8.1

a b c (Å): 4.362 4.362 4.362
angles (deg): 90.00 90.00 90.00
Atoms (fractional coordinates):
Zn  0.000  0.000  0.500
Zn  0.000  0.500  0.000
Zn  0.500  0.000  0.000
H  0.000  0.000  0.000
Pb  0.500  0.500  0.500